## Pm5Nd6Pu (PBE-GGA)

Data for crystalline Pm5Nd6Pu at its relaxed geometry.

- mass density (g cm⁻³) = 7.40
- DOS(E_F) (states/eV/atom) = 2.0448
- calculated volume (A^3/atom) = 34.3
- energy relative to the elements (eV per atom) = 0.0510
- E (eV/cell) = -132.16

Unit cell a=5.152 b=15.477 c=10.325 alpha=90.00 beta=90.00 gamma=90.00
Space group Cmmm (No. 65)
One atom of each set of equivalent atoms:
Pm (0.000, 0.000, 0.000)
Pm (0.000, 0.333, 0.000)
Pm (0.000, 0.336, 0.500)
Nd (0.000, 0.165, 0.254)
Nd (0.000, 0.500, 0.253)
Pu (0.000, 0.000, 0.500)